DFT (PBE with a Hubbard U) results for crystalline CaAc2MnO6 at its relaxed geometry. Values from VASP.

Magnetic moment = 0.299 μB/atom
E_tot = -73.79 eV per formula unit
SG = P4mm (99)

```
&SYSTEM
  ibrav = 0, nat = 10, ntyp = 4
/
ATOMIC_SPECIES
Ca 40.08 Ca.upf
Ac 227.00 Ac.upf
Mn 54.94 Mn.upf
O 16.00 O.upf
ATOMIC_POSITIONS angstrom
Ca -0.733 -4.682 1.210
Ac 0.281 -2.342 -1.642
Ac 1.056 -1.460 2.239
Mn -2.511 -1.066 0.744
O -2.054 -2.871 1.062
O -0.713 -4.374 3.435
O 1.214 -3.855 0.633
O -0.869 -0.369 0.257
O -0.214 -6.833 1.595
O -1.555 -5.330 -0.778
CELL_PARAMETERS angstrom
-4.040 -1.716 1.197
0.920 -4.532 -3.391
2.471 -2.769 4.371
```